No. 1
LiAlPt | PBE-GGA | relaxed

```
LiAlPt
1.0
4.162 0.000 0.000
2.081 3.605 0.000
2.081 1.202 3.399
Li Pt Al
1 1 1
Direct
0.500 0.500 0.500
0.250 0.250 0.250
0.000 0.000 0.000
```

Values from the calculation:
SG: No. 216
M_tot: 0.0 μB/cell
Energy above the lowest structure with this stoichiometry: 0.1711 eV/atom
Energy relative to the elements: -637 meV/atom



No. 2
LuZrCoAu | PBE-GGA | relaxed

```
LuZrCoAu
1.0
4.760 0.000 0.000
2.380 4.122 0.000
2.380 1.374 3.886
Au Lu Zr Co
1 1 1 1
Direct
0.000 0.000 0.000
0.250 0.250 0.250
0.750 0.750 0.750
0.500 0.500 0.500
```

Values from the calculation:
SG: No. 216
M_tot: 0.1 μB/cell
Energy relative to the elements: -383 meV/atom



No. 3
Cs2SnWI6 | PBE-GGA | relaxed

```
Cs2SnWI6
1.0
8.571 0.000 0.000
0.000 8.571 0.000
4.286 4.286 6.084
I W Sn Cs
6 1 1 2
Direct
0.765 0.235 0.000
0.764 0.764 0.471
0.235 0.765 0.000
0.235 0.235 0.000
0.236 0.236 0.529
0.765 0.765 0.000
0.000 0.000 0.000
0.500 0.500 0.000
0.250 0.750 0.500
0.750 0.250 0.500
```

Values from the calculation:
SG: No. 139
M_tot: 4.0 μB/cell
Formation energy from raw total energies: -0.546 eV/atom



No. 4
NaMoCl2 | PBE-GGA | relaxed

```
NaMoCl2
1.0
-3.483 0.214 -4.175
-3.095 -3.785 2.388
-6.709 2.966 2.204
Cl Mo Na
4 2 2
Direct
0.064 0.625 0.250
0.686 0.125 0.250
0.875 0.936 0.750
0.375 0.314 0.750
0.750 0.250 0.500
0.000 0.000 0.000
0.250 0.750 0.500
0.500 0.500 0.000
```

Values from the calculation:
SG: No. 122
M_tot: 0.0 μB/cell
Energy above the lowest structure with this stoichiometry: 0.3022 eV/atom
Formation energy from raw total energies: -0.075 eV/atom



No. 5
K3ErCu2Cl9 | PBE-GGA | relaxed

```
K3ErCu2Cl9
1.0
-4.616 -4.960 2.221
6.968 -0.777 1.300
-0.949 4.315 7.667
Cl Cu Er K
9 2 1 3
Direct
0.000 0.500 0.000
0.500 0.000 0.000
0.659 0.829 0.328
0.341 0.171 0.672
0.829 0.171 0.672
0.829 0.659 0.672
0.171 0.829 0.328
0.171 0.341 0.328
0.500 0.500 0.000
0.333 0.667 0.141
0.667 0.333 0.859
0.000 0.000 0.500
0.667 0.333 0.305
0.333 0.667 0.695
0.000 0.000 0.000
```

Values from the calculation:
SG: No. 164
M_tot: 1.1 μB/cell
Formation energy from raw total energies: -1.540 eV/atom



No. 6
MgCoOs2Pd | PBE-GGA | relaxed

```
MgCoOs2Pd
1.0
4.379 0.000 0.000
0.000 4.485 0.000
0.000 0.000 4.379
Os Co Mg Pd
2 1 1 1
Direct
0.500 0.000 0.000
0.000 0.000 0.500
0.000 0.000 0.000
0.000 0.500 0.000
0.500 0.500 0.500
```

Values from the calculation:
SG: No. 123
M_tot: 0.0 μB/cell
Energy relative to the elements: 1176 meV/atom



Q: Number 2 is which compound?
A: LuZrCoAu



Q: Number 2 is which compound?
A: LuZrCoAu



Q: Number 2 is which compound?
A: LuZrCoAu



Q: Which value of M_tot does entry 3 give?
A: 4.0 μB/cell